A relaxed BeP2Se crystal, computed with PBE.

POSCAR file:
```
BeP2Se
1.0
-3.2796 0.6585 -0.5314
0.9382 -2.6640 1.8695
-0.1692 5.1601 7.4378
P Se Be
2 1 1
direct
0.0000 0.0000 0.0069
0.5000 0.5000 0.1648
0.0000 0.0000 0.5995
0.5000 0.5000 0.7289
```

Output
formation energy from raw total energies = 37 kJ per mole of atoms
ΔE to the lowest computed polymorph = 657 meV/atom
total DFT energy (no corrections) = -4.120 eV per atom
density of states at the Fermi level = 1.44 states/eV/cell
space-group type = Cmm2, No. 35